Record 1
## ScZnTc3 (PBE)

Data for a relaxed ScZnTc3 crystal.

a = 4.5945 Å, b = 4.5945 Å, c = 4.5945 Å
α = 90.00°, β = 90.00°, γ = 90.00°
Last column: nearest neighbours and their distance in Å.
Space group Pm-3m (No. 221)
Asymmetric unit:
Sc 0.0000 0.0000 0.0000 x1  6 Tc 2.30
Zn 0.5000 0.5000 0.5000 x1  12 Tc 3.25
Tc 0.0000 0.0000 0.5000 x3  2 Sc 2.30

Output
Energy of formation from the pure elements (kJ/mol of formula units): 866
Crystal system: cubic
Magnetization (μB/cell): 2.39
Energy above the most stable polymorph in this dataset (meV per atom): 563

Record 2
## AcAl3H12 (PBE)

Data for a relaxed AcAl3H12 crystal.

a = 8.7450 Å, b = 8.7450 Å, c = 6.2655 Å
α = 90.00°, β = 90.00°, γ = 120.00°
Last column: nearest neighbours and their distance in Å.
Space group P6_3/m (No. 176)
Asymmetric unit:
Ac 0.3333 0.6667 0.2500 x2  9 H 2.39-2.45
Al 0.0954 0.3738 0.7500 x6  4 H 1.59-1.65
H 0.0188 0.5222 0.2500 x6  1 Al 1.65
H 0.0357 0.8344 0.2500 x6  1 Al 1.59
H 0.2266 0.4535 0.5435 x12  1 Al 1.64

Output
Crystal system: hexagonal
Magnetization (μB/cell): 0.00
Total DFT energy (no corrections) (eV for the cell shown): -114.82